[1]
Material: NaReH2
Method: DFT, GGA-PBE
State: relaxed

The structure in CIF format:
```
data_NaReH2
_chemical_formula_sum 'Na4 Re4 H8'
_cell_length_a 5.434
_cell_length_b 5.434
_cell_length_c 5.434
_cell_angle_alpha 90.00
_cell_angle_beta 90.00
_cell_angle_gamma 90.00
_space_group_name_H-M_alt 'F m -3 m'
_space_group_IT_number 225
_space_group_name_Hall '-F 4 2 3'
loop_
_atom_site_label
_atom_site_fract_x
_atom_site_fract_y
_atom_site_fract_z
Na1 0.000 0.000 0.000
Re1 0.000 0.000 0.500
H1 0.250 0.250 0.250
```

Calculated values
The calculation puts the energy above the most stable polymorph in this dataset at 980.0 meV/atom.

=====

[2]
Material: Na2ReH
Method: DFT, GGA-PBE
State: relaxed

The structure in CIF format:
```
data_Na2ReH
_chemical_formula_sum 'Na8 Re4 H4'
_cell_length_a 7.099
_cell_length_b 7.099
_cell_length_c 7.099
_cell_angle_alpha 90.00
_cell_angle_beta 90.00
_cell_angle_gamma 90.00
_space_group_name_H-M_alt 'F m -3 m'
_space_group_IT_number 225
_space_group_name_Hall '-F 4 2 3'
loop_
_atom_site_label
_atom_site_fract_x
_atom_site_fract_y
_atom_site_fract_z
Na1 0.250 0.250 0.250
Re1 0.000 0.000 0.000
H1 0.000 0.000 0.500
```

Calculated values
The calculation puts the energy above the most stable polymorph in this dataset at 144.3 meV/atom.

=====

no.,raw total energy (eV per atom)
1,-3.72
2,-2.89